## CoAg (PBE)

Data for CoAg after structural relaxation.

Values from the calculation:
Magnetic moment (μB/cell): 27.14
Energy relative to the elements (eV/atom): 0.563

Unit cell a=7.7772 b=13.6935 c=4.6847 alpha=90.00 beta=90.00 gamma=90.00
With the nearest neighbours (Å) after each atom.
Atoms (fractional coordinates):
Co  0.5000  0.9177  0.5000  1 Co 2.25
Co  0.5000  0.4177  0.0000  1 Co 2.25
Co  0.5000  0.5823  0.0000  1 Co 2.25
Co  0.7500  0.6677  0.7500  1 Co 2.25
Co  0.0000  0.4177  0.5000  1 Co 2.25
Co  0.2500  0.8323  0.2500  1 Co 2.25
Co  0.0000  0.9177  0.0000  1 Co 2.25
Co  0.0000  0.0823  0.0000  1 Co 2.25
Co  0.5000  0.0823  0.5000  1 Co 2.25
Co  0.7500  0.3323  0.2500  1 Co 2.25
Co  0.2500  0.1677  0.7500  1 Co 2.25
Co  0.2500  0.6677  0.2500  1 Co 2.25
Co  0.7500  0.8323  0.7500  1 Co 2.25
Co  0.0000  0.5823  0.5000  1 Co 2.25
Co  0.2500  0.3323  0.7500  1 Co 2.25
Co  0.7500  0.1677  0.2500  1 Co 2.25
Ag  0.6679  0.0000  0.0000  3 Ag 2.61-2.67, 8 Co 2.66-2.91
Ag  0.3321  0.5000  0.5000  3 Ag 2.61-2.67, 8 Co 2.66-2.91
Ag  0.0821  0.7500  0.7500  3 Ag 2.61-2.67, 8 Co 2.66-2.91
Ag  0.9179  0.2500  0.7500  3 Ag 2.61-2.67, 8 Co 2.66-2.91
Ag  0.1679  0.0000  0.5000  3 Ag 2.61-2.67, 8 Co 2.66-2.91
Ag  0.5821  0.2500  0.7500  3 Ag 2.61-2.67, 8 Co 2.66-2.91
Ag  0.3321  0.0000  0.0000  3 Ag 2.61-2.67, 8 Co 2.66-2.91
Ag  0.1679  0.5000  0.0000  3 Ag 2.61-2.67, 8 Co 2.66-2.91
Ag  0.4179  0.2500  0.2500  3 Ag 2.61-2.67, 8 Co 2.66-2.91
Ag  0.8321  0.0000  0.5000  3 Ag 2.61-2.67, 8 Co 2.66-2.91
Ag  0.5821  0.7500  0.2500  3 Ag 2.61-2.67, 8 Co 2.66-2.91
Ag  0.8321  0.5000  0.0000  3 Ag 2.61-2.67, 8 Co 2.66-2.91
Ag  0.6679  0.5000  0.5000  3 Ag 2.61-2.67, 8 Co 2.66-2.91
Ag  0.0821  0.2500  0.2500  3 Ag 2.61-2.67, 8 Co 2.66-2.91
Ag  0.9179  0.7500  0.2500  3 Ag 2.61-2.67, 8 Co 2.66-2.91
Ag  0.4179  0.7500  0.7500  3 Ag 2.61-2.67, 8 Co 2.66-2.91

=====

## Co3Ag (PBE)

Data for Co3Ag after structural relaxation.

Values from the calculation:
Magnetic moment (μB/cell): 10.63
Energy relative to the elements (eV/atom): 0.448

Unit cell a=4.6987 b=4.6987 c=4.6987 alpha=90.00 beta=90.00 gamma=90.00
With the nearest neighbours (Å) after each atom.
Atoms (fractional coordinates):
Co  0.2500  0.5000  0.0000  2 Co 2.35, 4 Ag 2.63
Co  0.0000  0.2500  0.5000  2 Co 2.35, 4 Ag 2.63
Co  0.5000  0.0000  0.7500  2 Co 2.35, 4 Ag 2.63
Co  0.5000  0.0000  0.2500  2 Co 2.35, 4 Ag 2.63
Co  0.0000  0.7500  0.5000  2 Co 2.35, 4 Ag 2.63
Co  0.7500  0.5000  0.0000  2 Co 2.35, 4 Ag 2.63
Ag  0.0000  0.0000  0.0000  12 Co 2.63
Ag  0.5000  0.5000  0.5000  12 Co 2.63

=====

## CrCo2Ag (PBE)

Data for CrCo2Ag after structural relaxation.

Values from the calculation:
Magnetic moment (μB/cell): 0.00
Offset from the most stable computed form (eV per formula unit): 1.550
Energy relative to the elements (eV/atom): 0.696

Unit cell a=6.4402 b=6.4402 c=5.2562 alpha=52.22 beta=52.22 gamma=90.00
With the nearest neighbours (Å) after each atom.
Atoms (fractional coordinates):
Co  0.8750  0.8245  0.7500  2 Cr 2.16
Co  0.1755  0.6250  0.2500  2 Cr 2.16
Co  0.3750  0.4255  0.7500  2 Cr 2.16
Co  0.5745  0.1250  0.2500  2 Cr 2.16
Cr  0.2500  0.7500  0.5000  4 Co 2.16
Cr  0.5000  0.5000  0.0000  4 Co 2.16
Ag  0.7500  0.2500  0.5000  8 Co 2.60-2.85, 2 Cr 2.62
Ag  0.0000  0.0000  0.0000  8 Co 2.60-2.85, 2 Cr 2.62

=====

## CrCoAg (PBE)

Data for CrCoAg after structural relaxation.

Values from the calculation:
Magnetic moment (μB/cell): 1.82
Offset from the most stable computed form (eV per formula unit): 0.265
Energy relative to the elements (eV/atom): 0.493

Unit cell a=6.8287 b=6.6581 c=2.5938 alpha=82.63 beta=75.24 gamma=22.13
With the nearest neighbours (Å) after each atom.
Atoms (fractional coordinates):
Ag  0.0012  0.0012  0.9988  4 Ag 2.59, 2 Co 2.76, 2 Cr 2.80
Co  0.6801  0.6801  0.3199  2 Cr 2.33, 4 Co 2.59
Cr  0.3186  0.3186  0.6814  2 Co 2.33, 4 Cr 2.59

=====

## CrCo2Ag (PBE)

Data for CrCo2Ag after structural relaxation.

Values from the calculation:
Magnetic moment (μB/cell): 1.08
Offset from the most stable computed form (eV per formula unit): 0.063
Energy relative to the elements (eV/atom): 0.325

Unit cell a=8.7022 b=8.7022 c=8.7022 alpha=17.27 beta=17.27 gamma=17.27
With the nearest neighbours (Å) after each atom.
Atoms (fractional coordinates):
Co  0.5090  0.5090  0.5090  3 Cr 2.44, 6 Co 2.61
Co  0.9910  0.9910  0.9910  3 Cr 2.44, 6 Co 2.61
Ag  0.7500  0.7500  0.7500  6 Ag 2.61, 6 Co 2.81
Cr  0.2500  0.2500  0.2500  6 Co 2.44, 6 Cr 2.61

=====

## CrCo2Ag (PBE)

Data for CrCo2Ag after structural relaxation.

Values from the calculation:
Magnetic moment (μB/cell): 1.78
Offset from the most stable computed form (eV per formula unit): 0.309
Energy relative to the elements (eV/atom): 0.386

Unit cell a=8.8535 b=8.8535 c=8.8535 alpha=16.92 beta=16.92 gamma=16.92
With the nearest neighbours (Å) after each atom.
Atoms (fractional coordinates):
Cr  0.5097  0.5097  0.5097  3 Co 2.44, 6 Cr 2.61
Co  0.2499  0.2499  0.2499  3 Cr 2.44, 9 Co 2.48-2.61
Co  0.9916  0.9916  0.9916  9 Co 2.48-2.61
Ag  0.7488  0.7488  0.7488  6 Ag 2.61, 3 Co 2.81, 3 Cr 2.89

=====

## CrCo2Ag (PBE)

Data for CrCo2Ag after structural relaxation.

Values from the calculation:
Magnetic moment (μB/cell): 4.35
Offset from the most stable computed form (eV per formula unit): 0.850
Energy relative to the elements (eV/atom): 0.521

Unit cell a=4.4742 b=4.4742 c=2.6869 alpha=90.00 beta=90.00 gamma=106.00
With the nearest neighbours (Å) after each atom.
Atoms (fractional coordinates):
Cr  0.5000  0.0000  0.5000  8 Co 2.61, 2 Cr 2.69, 2 Ag 2.69
Ag  0.0000  0.5000  0.5000  8 Co 2.61, 2 Ag 2.69, 2 Cr 2.69
Co  0.5000  0.5000  0.0000  4 Cr 2.61, 4 Ag 2.61, 4 Co 2.69
Co  0.0000  0.0000  0.0000  4 Ag 2.61, 4 Cr 2.61, 4 Co 2.69

=====

## CrCoAg3 (PBE)

Data for CrCoAg3 after structural relaxation.

Values from the calculation:
Magnetic moment (μB/cell): 6.43
Offset from the most stable computed form (eV per formula unit): 0.000
Energy relative to the elements (eV/atom): 1.523

Unit cell a=4.9049 b=4.9049 c=4.9049 alpha=90.00 beta=90.00 gamma=90.00
With the nearest neighbours (Å) after each atom.
Atoms (fractional coordinates):
Ag  0.0000  0.5000  0.0000  2 Cr 2.45
Ag  0.0000  0.0000  0.5000  2 Cr 2.45
Ag  0.5000  0.0000  0.0000  2 Cr 2.45
Cr  0.0000  0.0000  0.0000  6 Ag 2.45
Co  0.5000  0.5000  0.5000  12 Ag 3.47

=====

## CrCo3Ag (PBE)

Data for CrCo3Ag after structural relaxation.

Values from the calculation:
Magnetic moment (μB/cell): 5.51
Offset from the most stable computed form (eV per formula unit): 5.536
Energy relative to the elements (eV/atom): 2.228

Unit cell a=4.5522 b=4.5522 c=4.5522 alpha=90.00 beta=90.00 gamma=90.00
With the nearest neighbours (Å) after each atom.
Atoms (fractional coordinates):
Co  0.0000  0.5000  0.0000  2 Ag 2.28
Co  0.5000  0.0000  0.0000  2 Ag 2.28
Co  0.0000  0.0000  0.5000  2 Ag 2.28
Cr  0.5000  0.5000  0.5000  12 Co 3.22
Ag  0.0000  0.0000  0.0000  6 Co 2.28

=====

## CrCo2Ag (PBE)

Data for CrCo2Ag after structural relaxation.

Values from the calculation:
Magnetic moment (μB/cell): 6.68
Offset from the most stable computed form (eV per formula unit): 1.022
Energy relative to the elements (eV/atom): 0.564

Unit cell a=4.2641 b=4.2641 c=4.2641 alpha=60.00 beta=60.00 gamma=60.00
With the nearest neighbours (Å) after each atom.
Atoms (fractional coordinates):
Cr  0.7500  0.7500  0.7500  4 Ag 2.61, 4 Co 2.61
Co  0.0000  0.0000  0.0000  4 Cr 2.61, 4 Co 2.61
Co  0.2500  0.2500  0.2500  4 Co 2.61, 4 Ag 2.61
Ag  0.5000  0.5000  0.5000  4 Cr 2.61, 4 Co 2.61

=====

## CrCo2Ag (PBE)

Data for CrCo2Ag after structural relaxation.

Values from the calculation:
Magnetic moment (μB/cell): 3.19
Offset from the most stable computed form (eV per formula unit): 0.187
Energy relative to the elements (eV/atom): 0.356

Unit cell a=2.5634 b=2.5634 c=8.4271 alpha=90.00 beta=90.00 gamma=110.45
With the nearest neighbours (Å) after each atom.
Atoms (fractional coordinates):
Co  0.0000  0.0000  0.4730  2 Cr 2.38, 4 Co 2.56
Co  0.0000  0.0000  0.0270  2 Cr 2.38, 4 Co 2.56
Cr  0.5000  0.5000  0.2500  4 Co 2.38, 4 Cr 2.56
Ag  0.5000  0.5000  0.7500  4 Ag 2.56, 4 Co 2.75

=====

## CrCo2Ag (PBE)

Data for CrCo2Ag after structural relaxation.

Values from the calculation:
Magnetic moment (μB/cell): 1.77
Offset from the most stable computed form (eV per formula unit): 0.909
Energy relative to the elements (eV/atom): 0.536

Unit cell a=4.1511 b=4.1511 c=4.1511 alpha=60.00 beta=60.00 gamma=60.00
With the nearest neighbours (Å) after each atom.
Atoms (fractional coordinates):
Ag  0.5000  0.5000  0.5000  8 Co 2.54
Co  0.7500  0.7500  0.7500  4 Cr 2.54, 4 Ag 2.54
Co  0.2500  0.2500  0.2500  4 Cr 2.54, 4 Ag 2.54
Cr  0.0000  0.0000  0.0000  8 Co 2.54